No. 1
The following is a PBE-GGA calculation of an optimized crystal structure of Sm2Dy3Ho2, from Alexandria.

abc: 3.499 8.692 8.486
angles: 115.40 101.90 90.00
Atoms (fractional coordinates):
Dy: 0.221 0.648 0.442
Dy: 0.000 0.500 0.000
Dy: 0.779 0.352 0.558
Sm: 0.921 0.799 0.841
Sm: 0.079 0.201 0.159
Ho: 0.638 0.907 0.276
Ho: 0.362 0.093 0.724

Properties
- E_form: 129 meV per atom
- Space group: C2/m (12)
- Energy relative to the lowest polymorph listed for this composition: 0.111 eV per atom

No. 2
The following is a PBE-GGA calculation of an optimized crystal structure of Np4Tc7As6, from Alexandria.

abc: 7.233 7.233 7.233
angles: 109.47 109.47 109.47
Last column: magnetic moment on the atom in μB.
Atoms (fractional coordinates):
As: 0.308 0.308 0.000  -0.03
As: 0.692 0.000 0.692  -0.03
As: 0.000 0.308 0.308  -0.03
As: 0.000 0.692 0.692  -0.03
As: 0.692 0.692 0.000  -0.03
As: 0.308 0.000 0.308  -0.03
Tc: 0.250 0.500 0.750  -0.40
Tc: 0.750 0.250 0.500  -0.40
Tc: 0.000 0.000 0.000  0.05
Tc: 0.250 0.750 0.500  -0.40
Tc: 0.750 0.500 0.250  -0.40
Tc: 0.500 0.250 0.750  -0.40
Tc: 0.500 0.750 0.250  -0.40
Np: 0.000 0.000 0.500  3.10
Np: 0.500 0.500 0.500  3.10
Np: 0.000 0.500 0.000  3.10
Np: 0.500 0.000 0.000  3.10

Properties
- E_form: -475 meV per atom
- Space group: Im-3m (229)

No. 3
The following is a PBE-GGA calculation of an optimized crystal structure of Gd2TmW, from Alexandria.

abc: 3.204 3.204 11.767
angles: 82.17 82.17 60.00
Last column: magnetic moment on the atom in μB.
Atoms (fractional coordinates):
Gd: 0.919 0.919 0.242  7.17
Gd: 0.081 0.081 0.758  7.17
Tm: 0.500 0.500 0.500  -0.09
W: 0.000 0.000 0.000  -0.15

Properties
- E_form: 817 meV per atom
- Space group: R-3m (166)

No. 4
The following is a PBE-GGA calculation of an optimized crystal structure of BeCd2Te, from Alexandria.

abc: 8.694 8.694 8.694
angles: 22.93 22.93 22.93
Atoms (fractional coordinates):
Cd: 0.016 0.016 0.016
Cd: 0.484 0.484 0.484
Te: 0.250 0.250 0.250
Be: 0.750 0.750 0.750

Properties
- ΔE_f (raw): 0.3493 eV per atom
- Space group: R-3m (166)
- Energy relative to the lowest polymorph listed for this composition: 0.185 eV per atom

No. 5
The following is a PBE-GGA calculation of an optimized crystal structure of AcThGaGe, from Alexandria.

abc: 5.368 5.368 5.368
angles: 60.00 60.00 60.00
Atoms (fractional coordinates):
Ge: 0.500 0.500 0.500
Ac: 0.250 0.250 0.250
Th: 0.750 0.750 0.750
Ga: 0.000 0.000 0.000

Properties
- E_form: -380 meV per atom
- Space group: F-43m (216)

Quick rundown of raw total energy, same order as above: -4.50, -9.43, -10.58, -1.83, -5.17 eV per atom